(1)
This record from Alexandria via LeMat-Bulk describes a relaxed structure of VPdPb2O6. The functional is GGA+U.

CIF file:
```
data_VPdPb2O6
_chemical_formula_sum 'V2 Pd2 Pb4 O12'
_cell_length_a 5.5505
_cell_length_b 5.5394
_cell_length_c 8.2949
_cell_angle_alpha 90.00
_cell_angle_beta 89.58
_cell_angle_gamma 90.00
_symmetry_space_group_name_H-M 'P 1'
_symmetry_Int_Tables_number 1
_symmetry_space_group_name_Hall 'P 1'
loop_
_atom_site_label
_atom_site_fract_x
_atom_site_fract_y
_atom_site_fract_z
V1 0.5000 0.0000 0.5000
V2 0.0000 0.5000 0.0000
Pd1 0.5000 0.0000 0.0000
Pd2 0.0000 0.5000 0.5000
Pb1 0.9977 0.9766 0.2494
Pb2 0.4977 0.5234 0.7494
Pb3 0.0023 0.0234 0.7506
Pb4 0.5023 0.4766 0.2506
O1 0.2822 0.6959 0.0221
O2 0.7822 0.8041 0.5221
O3 0.7178 0.3041 0.9779
O4 0.2178 0.1959 0.4779
O5 0.3064 0.7151 0.4794
O6 0.8064 0.7849 0.9794
O7 0.6936 0.2849 0.5206
O8 0.1936 0.2151 0.0206
O9 0.9508 0.5071 0.2317
O10 0.4508 0.9929 0.7317
O11 0.0492 0.4929 0.7683
O12 0.5492 0.0071 0.2683
```

## Properties
Volume, Å³/f.u.: 127.5
Magnetic moment, Bohr magnetons per cell: 0.0
Symmetry: P2_1/c (14)
DFT total energy, eV/atom: -6.084
Crystal system: monoclinic

***

(2)
This record from Alexandria via LeMat-Bulk describes a relaxed structure of V2PdPbO6. The functional is GGA+U.

CIF file:
```
data_V2PdPbO6
_chemical_formula_sum 'V4 Pd2 Pb2 O12'
_cell_length_a 6.1575
_cell_length_b 7.4939
_cell_length_c 7.4939
_cell_angle_alpha 100.50
_cell_angle_beta 74.62
_cell_angle_gamma 74.62
_symmetry_space_group_name_H-M 'P 1'
_symmetry_Int_Tables_number 1
_symmetry_space_group_name_Hall 'P 1'
loop_
_atom_site_label
_atom_site_fract_x
_atom_site_fract_y
_atom_site_fract_z
V1 0.3188 0.7163 0.5748
V2 0.1812 0.4252 0.2837
V3 0.6812 0.2837 0.4252
V4 0.8188 0.5748 0.7163
Pd1 0.2500 0.2873 0.7127
Pd2 0.7500 0.7127 0.2873
Pb1 0.2500 0.8945 0.1055
Pb2 0.7500 0.1055 0.8945
O1 0.1854 0.8965 0.7900
O2 0.3146 0.2100 0.1035
O3 0.8146 0.1035 0.2100
O4 0.6854 0.7900 0.8965
O5 0.3884 0.8333 0.4004
O6 0.1116 0.5996 0.1667
O7 0.6116 0.1667 0.5996
O8 0.8884 0.4004 0.8333
O9 0.0466 0.6568 0.5596
O10 0.4534 0.4404 0.3432
O11 0.9534 0.3432 0.4404
O12 0.5466 0.5596 0.6568
```

## Properties
Volume, Å³/f.u.: 154.7
Magnetic moment, Bohr magnetons per cell: 0.0
Symmetry: C2/c (15)
DFT total energy, eV/atom: -6.752
Crystal system: monoclinic

***

Number 2 is which compound? V2PdPbO6